No. 1
A plane-wave DFT calculation with PBE was carried out for a relaxed structure of NdTm3Sn.

- Crystal system: orthorhombic
- E_tot: -46.1 eV per cell
- Total moment: 0.00 μB per cell
- Energy of formation: -0.171 eV per atom

Lattice parameters (Å, degrees): 5.8778 6.7254 8.6148 67.02 90.00 90.00
Last column: nearest neighbours and their distance in Å.
Positions (direct):
Nd (0.2500, 0.4418, 0.1164)  2 Nd 3.47, 8 Tm 3.78, 2 Sn 3.81
Nd (0.7500, 0.5582, 0.8836)  2 Nd 3.47, 8 Tm 3.78, 2 Sn 3.81
Tm (0.0000, 0.0000, 0.0000)  2 Tm 2.94, 2 Sn 3.09
Tm (0.5000, 0.0000, 0.0000)  2 Tm 2.94, 2 Sn 3.09
Tm (0.2500, 0.9156, 0.6720)  3 Sn 3.11-3.38, 4 Tm 3.34-3.42
Tm (0.2500, 0.4124, 0.6720)  3 Sn 3.11-3.38, 4 Tm 3.34-3.42
Tm (0.7500, 0.0844, 0.3280)  3 Sn 3.11-3.38, 4 Tm 3.34-3.42
Tm (0.7500, 0.5876, 0.3280)  3 Sn 3.11-3.38, 4 Tm 3.34-3.42
Sn (0.2500, 0.8283, 0.3434)  8 Tm 3.09-3.38
Sn (0.7500, 0.1717, 0.6566)  8 Tm 3.09-3.38


No. 2
A plane-wave DFT calculation with PBE was carried out for a relaxed structure of BeAuIN2.

- Crystal system: tetragonal
- E_tot: -16.4 eV per cell
- Total moment: 3.01 μB per cell
- Energy relative to the elements, uncorrected: 1.768 eV per atom
- E above lowest polymorph: 372.1 meV/atom

Lattice parameters (Å, degrees): 3.9320 3.9320 8.1663 90.00 90.00 90.00
Last column: nearest neighbours and their distance in Å.
Positions (direct):
N (0.5000, 0.0000, 0.0000)  2 Au 1.97
N (0.0000, 0.5000, 0.0000)  2 Au 1.97
Be (0.5000, 0.5000, 0.5000)  4 I 2.78
I (0.0000, 0.0000, 0.5000)  4 Be 2.78
Au (0.0000, 0.0000, 0.0000)  4 N 1.97


No. 3
A plane-wave DFT calculation with PBE was carried out for a relaxed structure of TbPuH2.

- Crystal system: trigonal
- E_tot: -26.9 eV per cell
- Total moment: 5.79 μB per cell

Lattice parameters (Å, degrees): 3.4512 3.4512 6.0783 73.51 73.51 60.00
Last column: nearest neighbours and their distance in Å.
Positions (direct):
H (0.7556, 0.7556, 0.7332)  3 Tb 2.40, 3 Pu 2.51
H (0.2444, 0.2444, 0.2668)  3 Tb 2.40, 3 Pu 2.51
Pu (0.0000, 0.0000, 0.0000)  6 H 2.51
Tb (0.5000, 0.5000, 0.5000)  6 H 2.40